No. 1
# Cs2KSeI6

A relaxed structure of Cs2KSeI6 (GGA-PBE, the Alexandria database).

Volume in Å³/cell: 512
Formation energy from raw total energies in kJ/mol of formula units: -788

a = 8.739 Å, b = 8.739 Å, c = 9.122 Å
α = 61.38°, β = 61.38°, γ = 90.00°
Site moments in Bohr magnetons follow the coordinates.
Fractional positions:
K: 0.500 0.500 0.000  0.01
I: 0.226 0.774 0.000  0.01
I: 0.250 0.250 0.501  0.15
I: 0.226 0.226 0.000  0.00
I: 0.750 0.750 0.499  0.15
I: 0.774 0.226 0.000  0.01
I: 0.774 0.774 0.000  0.00
Cs: 0.750 0.250 0.500  0.00
Cs: 0.250 0.750 0.500  0.00
Se: 0.000 0.000 0.000  0.33



No. 2
# Cs2KSeI

A relaxed structure of Cs2KSeI (GGA-PBE, the Alexandria database).

Volume in Å³/cell: 298
Formation energy from raw total energies in kJ/mol of formula units: -558

a = 6.948 Å, b = 6.948 Å, c = 6.180 Å
α = 90.00°, β = 90.00°, γ = 90.00°
Fractional positions:
K: 0.000 0.000 0.500
I: 0.500 0.500 0.500
Cs: 0.000 0.500 0.000
Cs: 0.500 0.000 0.000
Se: 0.000 0.000 0.000